Record 1
The following is a PBE calculation of a geometry-optimized PmNiPt structure, from Alexandria.

```
PmNiPt
1.0
-1.759 1.759 4.632
1.759 -1.759 4.632
1.759 1.759 -4.632
Pm Ni Pt
1 1 1
Direct
0.000 0.000 0.000
0.696 0.696 0.000
0.313 0.313 0.000
```

Results
DFT formation energy in meV/atom: -441
Energy in eV for the cell shown: -17.895
Space group: I4mm (107)

Record 2
The following is a PBE calculation of a geometry-optimized Tb8As3Se4 structure, from Alexandria.

```
Tb8As3Se4
1.0
5.769 -5.780 0.000
5.769 5.780 0.000
-5.760 0.000 5.788
Tb As Se
8 3 4
Direct
0.244 0.244 0.495
0.246 0.754 0.000
0.248 0.248 0.002
0.249 0.751 0.500
0.751 0.249 0.500
0.752 0.752 0.998
0.754 0.246 0.000
0.756 0.756 0.505
0.000 0.000 0.000
0.000 0.500 0.500
0.500 0.000 0.500
0.000 0.500 0.000
0.500 0.000 0.000
0.500 0.500 0.000
0.500 0.500 0.500
```

Results
Energy in eV for the cell shown: -88.661
E_form (uncorrected) in kcal/mol of atoms: -36.49
Space group: C2/m (12)

Record 3
The following is a PBE calculation of a geometry-optimized TbNdNiRu structure, from Alexandria.

```
TbNdNiRu
1.0
4.050 0.000 0.000
0.000 2.013 5.372
0.000 -2.013 5.372
Tb Nd Ni Ru
1 1 1 1
Direct
0.000 0.000 0.000
0.500 0.286 0.286
0.000 0.707 0.707
0.500 0.569 0.569
```

Results
DFT formation energy in meV/atom: -292
Energy in eV for the cell shown: -25.621
Space group: Amm2 (38)

Record 4
The following is a PBE calculation of a geometry-optimized La2PrSm3Y6 structure, from Alexandria.

```
La2PrSm3Y6
1.0
3.150 -5.455 0.000
3.150 5.455 0.000
-2.095 0.000 11.723
La Pr Sm Y
2 1 3 6
Direct
0.167 0.833 0.000
0.833 0.167 0.000
0.500 0.500 0.000
0.000 0.000 0.500
0.333 0.667 0.500
0.667 0.333 0.500
0.083 0.415 0.747
0.252 0.252 0.253
0.415 0.083 0.747
0.585 0.917 0.253
0.748 0.748 0.747
0.917 0.585 0.253
```

Results
DFT formation energy in meV/atom: 12
Energy in eV for the cell shown: -67.436
Space group: C2/m (12)

Record 5
The following is a PBE calculation of a geometry-optimized TiZnNiHg structure, from Alexandria.

```
TiZnNiHg
1.0
0.000 3.128 3.128
3.128 0.000 3.128
3.128 3.128 0.000
Ti Zn Ni Hg
1 1 1 1
Direct
0.000 0.000 0.000
0.250 0.250 0.250
0.750 0.750 0.750
0.500 0.500 0.500
```

Results
DFT formation energy in meV/atom: -81
Energy in eV for the cell shown: -15.576
Space group: F-43m (216)

Record 6
The following is a PBE calculation of a geometry-optimized Ca2AsIrPt structure, from Alexandria.

```
Ca2AsIrPt
1.0
5.493 0.000 0.000
0.000 5.493 0.000
0.000 0.000 4.515
Ca As Ir Pt
2 1 1 1
Direct
0.000 0.500 0.000
0.500 0.000 0.000
0.000 0.000 0.000
0.500 0.500 0.500
0.000 0.000 0.500
```

Results
DFT formation energy in meV/atom: 179
Energy in eV for the cell shown: -22.659
Space group: P4/mmm (123)

Record 7
The following is a PBE calculation of a geometry-optimized Sr6Sb2SI3 structure, from Alexandria.

```
Sr6Sb2SI3
1.0
4.075 -7.052 0.000
4.075 7.052 0.000
-2.712 0.000 7.847
Sr Sb S I
6 2 1 3
Direct
0.070 0.389 0.210
0.250 0.250 0.790
0.389 0.070 0.210
0.611 0.930 0.790
0.750 0.750 0.210
0.930 0.611 0.790
0.333 0.667 0.000
0.667 0.333 0.000
0.000 0.000 0.000
0.167 0.833 0.500
0.500 0.500 0.500
0.833 0.167 0.500
```

Results
Energy in eV for the cell shown: -44.241
E_form (uncorrected) in kcal/mol of atoms: -32.91
Space group: C2/m (12)

Record 8
The following is a PBE calculation of a geometry-optimized AgPbI4 structure, from Alexandria.

```
AgPbI4
1.0
8.860 0.000 0.000
0.000 7.356 0.000
-4.026 0.000 7.754
Ag Pb I
2 2 8
Direct
0.000 0.000 0.000
0.000 0.500 0.500
0.500 0.000 0.500
0.500 0.500 0.000
0.147 0.222 0.290
0.147 0.278 0.790
0.331 0.673 0.614
0.331 0.827 0.114
0.669 0.173 0.886
0.669 0.327 0.386
0.853 0.722 0.210
0.853 0.778 0.710
```

Results
Energy in eV for the cell shown: -29.261
E_form (uncorrected) in kcal/mol of atoms: -7.19
Space group: P2_1/c (14)

Record 9
The following is a PBE calculation of a geometry-optimized TiPF2 structure, from Alexandria.

```
TiPF2
1.0
-1.814 1.814 7.524
1.814 -1.814 7.524
1.814 1.814 -7.524
Ti P F
2 2 4
Direct
0.000 0.000 0.000
0.750 0.250 0.500
0.250 0.750 0.500
0.500 0.500 0.000
0.091 0.625 0.966
0.375 0.341 0.466
0.659 0.125 0.034
0.875 0.909 0.534
```

Results
Energy in eV for the cell shown: -46.384
E_form (uncorrected) in kcal/mol of atoms: -35.42
Space group: I-42d (122)

> The highest energy belongs to which entry?

TiZnNiHg

Please write out number 9 again, unchanged.
The following is a PBE calculation of a geometry-optimized TiPF2 structure, from Alexandria.

```
TiPF2
1.0
-1.814 1.814 7.524
1.814 -1.814 7.524
1.814 1.814 -7.524
Ti P F
2 2 4
Direct
0.000 0.000 0.000
0.750 0.250 0.500
0.250 0.750 0.500
0.500 0.500 0.000
0.091 0.625 0.966
0.375 0.341 0.466
0.659 0.125 0.034
0.875 0.909 0.534
```

Results
Energy in eV for the cell shown: -46.384
E_form (uncorrected) in kcal/mol of atoms: -35.42
Space group: I-42d (122)

> Which formula does entry 5 have?

TiZnNiHg